Record 1
## Be9Nb2Rh (PBE)

Data for an optimized crystal structure of Be9Nb2Rh.

a b c (Å): 4.5001 4.5001 14.0307
angles (deg): 90.00 90.00 120.00
Last column: nearest neighbours and their distance in Å.
Element x y z (fractional)
Be 0.0000 0.0000 0.0000  6 Be 2.21
Be 0.0000 0.0000 0.5000  6 Be 2.21
Be 0.0000 0.0000 0.2500  6 Be 2.15
Be 0.0000 0.0000 0.7500  6 Be 2.15
Be 0.3333 0.6667 0.2500  6 Be 2.16
Be 0.6667 0.3333 0.7500  6 Be 2.16
Be 0.1658 0.3316 0.1274  7 Be 2.15-2.26
Be 0.6684 0.8342 0.1274  7 Be 2.15-2.26
Be 0.1658 0.8342 0.1274  7 Be 2.15-2.26
Be 0.8342 0.6684 0.6274  7 Be 2.15-2.26
Be 0.3316 0.1658 0.6274  7 Be 2.15-2.26
Be 0.8342 0.1658 0.6274  7 Be 2.15-2.26
Be 0.3316 0.1658 0.8726  7 Be 2.15-2.26
Be 0.8342 0.6684 0.8726  7 Be 2.15-2.26
Be 0.8342 0.1658 0.8726  7 Be 2.15-2.26
Be 0.6684 0.8342 0.3726  7 Be 2.15-2.26
Be 0.1658 0.3316 0.3726  7 Be 2.15-2.26
Be 0.1658 0.8342 0.3726  7 Be 2.15-2.26
Nb 0.3333 0.6667 0.5334  12 Be 2.61-2.64, 3 Nb 2.76
Nb 0.6667 0.3333 0.0334  12 Be 2.61-2.64, 3 Nb 2.76
Nb 0.6667 0.3333 0.4666  12 Be 2.61-2.64, 3 Nb 2.76
Nb 0.3333 0.6667 0.9666  12 Be 2.61-2.64, 3 Nb 2.76
Rh 0.3333 0.6667 0.7500  18 Be 2.60-2.83
Rh 0.6667 0.3333 0.2500  18 Be 2.60-2.83

Summary:
SG ... No. 194
Total moment ... 0.0 μB per formula unit
N(E_F) ... 0.47 states/eV/atom
Final energy ... -127.35 eV for the cell shown
Crystal system ... hexagonal
Calculated formation energy ... -221 meV per atom

Record 2
## Be2Nb3Rh5 (PBE)

Data for an optimized crystal structure of Be2Nb3Rh5.

a b c (Å): 3.1558 9.4687 9.4687
angles (deg): 90.00 90.00 90.00
Last column: nearest neighbours and their distance in Å.
Element x y z (fractional)
Be 0.0000 0.1219 0.6219  6 Rh 2.27-2.29
Be 0.0000 0.8781 0.3781  6 Rh 2.27-2.29
Be 0.0000 0.3781 0.1219  6 Rh 2.27-2.29
Be 0.0000 0.6219 0.8781  6 Rh 2.27-2.29
Nb 0.0000 0.3245 0.8245  3 Be 2.71-2.86, 10 Rh 2.83-2.99
Nb 0.0000 0.6755 0.1755  3 Be 2.71-2.86, 10 Rh 2.83-2.99
Nb 0.0000 0.1755 0.3245  3 Be 2.71-2.86, 10 Rh 2.83-2.99
Nb 0.0000 0.8245 0.6755  3 Be 2.71-2.86, 10 Rh 2.83-2.99
Nb 0.0000 0.0000 0.0000  8 Rh 2.62
Nb 0.0000 0.5000 0.5000  8 Rh 2.62
Rh 0.5000 0.2108 0.0674  2 Be 2.29
Rh 0.5000 0.7892 0.9326  2 Be 2.29
Rh 0.5000 0.9326 0.2108  2 Be 2.29
Rh 0.5000 0.0674 0.7892  2 Be 2.29
Rh 0.5000 0.2892 0.5674  2 Be 2.29
Rh 0.5000 0.7108 0.4326  2 Be 2.29
Rh 0.5000 0.5674 0.7108  2 Be 2.29
Rh 0.5000 0.4326 0.2892  2 Be 2.29
Rh 0.5000 0.0000 0.5000  4 Be 2.27
Rh 0.5000 0.5000 0.0000  4 Be 2.27

Summary:
SG ... No. 127
Total moment ... 0.0 μB per formula unit
N(E_F) ... 0.88 states/eV/atom
Final energy ... -158.33 eV for the cell shown
Crystal system ... tetragonal
Calculated formation energy ... -475 meV per atom

Record 3
## Be8NbRh3 (PBE)

Data for an optimized crystal structure of Be8NbRh3.

a b c (Å): 4.4141 4.4141 7.2295
angles (deg): 90.00 90.00 120.00
Last column: nearest neighbours and their distance in Å.
Element x y z (fractional)
Be 0.3333 0.6667 0.4973  6 Be 2.28-2.32
Be 0.3333 0.6667 0.0029  6 Be 2.13-2.16
Be 0.5020 0.0040 0.7635  6 Be 2.16-2.32
Be 0.5020 0.4980 0.7635  6 Be 2.16-2.32
Be 0.9960 0.4980 0.7635  6 Be 2.16-2.32
Be 0.1640 0.3279 0.2370  6 Be 2.13-2.28
Be 0.1640 0.8360 0.2370  6 Be 2.13-2.28
Be 0.6721 0.8360 0.2370  6 Be 2.13-2.28
Nb 0.0000 0.0000 0.5576  12 Be 2.59-2.66, 4 Rh 2.61-2.66
Rh 0.6667 0.3333 0.4538  12 Be 2.57-2.71, 3 Nb 2.66, 1 Rh 2.78
Rh 0.6667 0.3333 0.0690  12 Be 2.52-2.59, 4 Rh 2.77-2.78
Rh 0.0000 0.0000 0.9179  12 Be 2.47-2.63, 1 Nb 2.61

Summary:
SG ... No. 156
Total moment ... 0.0 μB per formula unit
N(E_F) ... 0.44 states/eV/atom
Final energy ... -67.32 eV for the cell shown
Crystal system ... trigonal
Calculated formation energy ... -449 meV per atom

Record 4
## BeNb3Rh4 (PBE)

Data for an optimized crystal structure of BeNb3Rh4.

a b c (Å): 2.8645 2.8645 14.3607
angles (deg): 90.00 90.00 90.00
Last column: nearest neighbours and their distance in Å.
Element x y z (fractional)
Be 0.5000 0.5000 0.0000  8 Rh 2.45
Nb 0.5000 0.5000 0.2285  8 Rh 2.78-2.82, 4 Nb 2.86
Nb 0.5000 0.5000 0.5000  8 Rh 2.81, 4 Nb 2.86
Nb 0.5000 0.5000 0.7715  8 Rh 2.78-2.82, 4 Nb 2.86
Rh 0.0000 0.0000 0.9045  4 Be 2.45
Rh 0.0000 0.0000 0.0955  4 Be 2.45
Rh 0.0000 0.0000 0.3647  8 Nb 2.81-2.82, 4 Rh 2.86
Rh 0.0000 0.0000 0.6353  8 Nb 2.81-2.82, 4 Rh 2.86

Summary:
SG ... No. 123
Total moment ... 0.0 μB per formula unit
N(E_F) ... 0.97 states/eV/atom
Final energy ... -67.14 eV for the cell shown
Crystal system ... tetragonal
Calculated formation energy ... -474 meV per atom

Record 5
## Be3NbRh (PBE)

Data for an optimized crystal structure of Be3NbRh.

a b c (Å): 4.2243 4.2243 4.2243
angles (deg): 90.00 90.00 90.00
Last column: nearest neighbours and their distance in Å.
Element x y z (fractional)
Be 0.0000 0.5000 0.0000  2 Nb 2.11
Be 0.0000 0.0000 0.5000  2 Nb 2.11
Be 0.5000 0.0000 0.0000  2 Nb 2.11
Nb 0.0000 0.0000 0.0000  6 Be 2.11
Rh 0.5000 0.5000 0.5000  12 Be 2.99

Summary:
SG ... No. 221
Total moment ... 0.0 μB per formula unit
Energy above the most stable polymorph in this dataset ... 1340 meV/atom
N(E_F) ... 0.46 states/eV/atom
Final energy ... -20.67 eV for the cell shown
Crystal system ... cubic
Calculated formation energy ... 1586 meV per atom

Record 6
## Be2NbRh3 (PBE)

Data for an optimized crystal structure of Be2NbRh3.

a b c (Å): 2.8566 2.8566 9.2691
angles (deg): 90.00 90.00 90.00
Last column: nearest neighbours and their distance in Å.
Element x y z (fractional)
Be 0.5000 0.5000 0.8555  8 Rh 2.42-2.46, 1 Be 2.68
Be 0.5000 0.5000 0.1445  8 Rh 2.42-2.46, 1 Be 2.68
Nb 0.5000 0.5000 0.5000  8 Rh 2.76, 4 Nb 2.86
Rh 0.0000 0.0000 0.0000  8 Be 2.42
Rh 0.0000 0.0000 0.7032  4 Be 2.46, 1 Rh 2.75
Rh 0.0000 0.0000 0.2968  4 Be 2.46, 1 Rh 2.75

Summary:
SG ... No. 123
Total moment ... 0.0 μB per formula unit
N(E_F) ... 0.76 states/eV/atom
Final energy ... -42.90 eV for the cell shown
Crystal system ... tetragonal
Calculated formation energy ... -554 meV per atom